Crystalline NdTh at its relaxed geometry, computed with GGA-PBE.

Lattice parameters (Å, degrees): 4.0670 4.0670 4.0670 90.00 90.00 90.00
With the nearest neighbours (Å) after each atom.
Space group Pm-3m (No. 221)
Unique sites:
Nd 0.0000 0.0000 0.0000 [1 per cell]  8 Th 3.52
Th 0.5000 0.5000 0.5000 [1 per cell]  8 Nd 3.52

- Energy of formation from the pure elements: 0.221 eV/atom
- Relative energy among the computed polymorphs: 0.2053 eV/atom